1.
HoSc2AlPd4: optimized geometry, PBE.

Calculated values
The value obtained for the total energy is -6.104 eV/atom. The value obtained for the formation enthalpy at 0 K is -0.88 eV per atom. The calculation puts the density of states at the Fermi level at 0.75 states/eV/atom.

a = 8.2488 Å, b = 8.2488 Å, c = 8.2488 Å
α = 32.63°, β = 32.63°, γ = 32.63°
Last column: nearest neighbours and their distance in Å.
Element x y z (fractional)
Ho1 0.0000 0.0000 0.0000  8 Pd 2.98-3.00
Sc1 0.2440 0.2440 0.2440  7 Pd 2.71-2.83
Sc2 0.7560 0.7560 0.7560  7 Pd 2.71-2.83
Al1 0.5000 0.5000 0.5000  8 Pd 2.59-2.82
Pd1 0.1282 0.1282 0.1282  4 Sc 2.71-2.83, 3 Al 2.82, 1 Ho 3.00
Pd2 0.3893 0.3893 0.3893  1 Al 2.59, 3 Sc 2.79
Pd3 0.6107 0.6107 0.6107  1 Al 2.59, 3 Sc 2.79
Pd4 0.8718 0.8718 0.8718  4 Sc 2.71-2.83, 3 Al 2.82, 1 Ho 3.00

2.
Fe2PC: optimized geometry, PBE.

Calculated values
The value obtained for the total energy is -7.830 eV/atom. The value obtained for the formation enthalpy at 0 K is 0.06 eV per atom. The calculation puts the density of states at the Fermi level at 0.82 states/eV/atom.

a = 5.8171 Å, b = 5.8171 Å, c = 5.8171 Å
α = 28.49°, β = 28.49°, γ = 28.49°
Last column: nearest neighbours and their distance in Å.
Element x y z (fractional)
Fe1 0.2272 0.2272 0.2272  3 C 1.94
Fe2 0.7728 0.7728 0.7728  3 C 1.94
P1 0.0000 0.0000 0.0000  6 Fe 2.43
C1 0.5000 0.5000 0.5000  6 Fe 1.94

3.
PmErTm5: optimized geometry, PBE.

Calculated values
Its distance to the lowest polymorph of the same formula is 5.74 eV per formula unit. The value obtained for the total energy is -3.499 eV/atom. The value obtained for the formation enthalpy at 0 K is 1.03 eV per atom. The calculation puts the density of states at the Fermi level at 1.42 states/eV/atom.

a = 7.6824 Å, b = 7.6824 Å, c = 7.6824 Å
α = 117.59°, β = 81.52°, γ = 133.18°
Last column: nearest neighbours and their distance in Å.
Element x y z (fractional)
Pm1 0.0000 0.0000 0.0000  4 Tm 2.89-3.21
Er1 0.7593 0.2593 0.5000  4 Tm 2.99-3.35
Tm1 0.0252 0.2680 0.7572  1 Er 2.99, 1 Tm 3.24, 1 Pm 3.27
Tm2 0.2627 0.5834 0.3206  2 Tm 2.86-3.02, 1 Pm 3.01
Tm3 0.2627 0.9421 0.6794  2 Tm 2.86-3.02, 1 Pm 3.01
Tm4 0.5108 0.2680 0.2428  1 Er 2.99, 1 Tm 3.24, 1 Pm 3.27
Tm5 0.5261 0.5261 0.0000  2 Pm 2.89-3.21, 4 Tm 3.02-3.24